[1]
VASP calculation (GGA-PBE) on an optimized crystal structure of AlRu2Au.

## Properties
ΔH_f (0 K) ... -0.10 eV per atom
DOS(E_F) ... 2.8 states/eV/cell
Volume ... 60.2 Å³/f.u.

Cell lengths 2.8443, 3.7205, 5.6893 Å; angles 90.00, 90.00, 90.00 degrees
Closest atoms and distances in Å follow each position.
Space group Pmm2 (No. 25)
Asymmetric unit:
Al: 0.0000 0.0000 0.0000  5 Ru 2.59-2.75, 4 Au 2.73, 2 Al 2.84
Ru: 0.0000 0.0000 0.5448  1 Al 2.59, 6 Ru 2.61-2.84, 4 Au 2.89
Ru: 0.5000 0.5000 0.7461  6 Ru 2.61-2.84, 4 Al 2.75, 2 Au 2.83-2.85
Au: 0.5000 0.5000 0.2479  4 Al 2.73, 6 Ru 2.83-2.89, 2 Au 2.84

[2]
VASP calculation (GGA-PBE) on an optimized crystal structure of AlRu2Au.

## Properties
ΔH_f (0 K) ... 0.02 eV per atom
DOS(E_F) ... 5.4 states/eV/cell
Volume ... 59.6 Å³/f.u.

Cell lengths 3.9600, 3.9600, 3.8007 Å; angles 90.00, 90.00, 90.00 degrees
Closest atoms and distances in Å follow each position.
Space group P4/mmm (No. 123)
Asymmetric unit:
Al: 0.0000 0.0000 0.0000  8 Ru 2.74, 4 Au 2.80
Ru: 0.0000 0.5000 0.5000  4 Al 2.74, 4 Au 2.74, 4 Ru 2.80
Au: 0.5000 0.5000 0.0000  8 Ru 2.74, 4 Al 2.80

[3]
VASP calculation (GGA-PBE) on an optimized crystal structure of AlRuAu2.

## Properties
ΔH_f (0 K) ... 0.03 eV per atom
DOS(E_F) ... 8.2 states/eV/cell
Volume ... 64.4 Å³/f.u.

Cell lengths 4.0077, 4.0077, 8.0227 Å; angles 90.00, 90.00, 90.00 degrees
Closest atoms and distances in Å follow each position.
Space group I4/mmm (No. 139)
Asymmetric unit:
Al: 0.0000 0.0000 0.0000  4 Ru 2.83, 8 Au 2.84
Ru: 0.0000 0.0000 0.5000  4 Al 2.83, 8 Au 2.84
Au: 0.0000 0.5000 0.2500  4 Au 2.83, 4 Ru 2.84, 4 Al 2.84

The highest volume belongs to which entry? AlRuAu2

What is the ΔH_f (0 K) in the second record? 0.02 eV per atom

Which of these has the lowest ΔH_f (0 K)? number 1

volume of number 2 (AlRu2Au)? 59.6 Å³/f.u.